Density functional theory data (PBE+U) for a relaxed MoS2O8 crystal.

Results
Total moment = 2.0 μB per formula unit
Symmetry = C2/m
E = -6.298 eV per atom

Cell: 4.7623 6.2523 6.2523 Å, 71.30 81.89 81.89°
Closest atoms and distances in Å follow each position.
Element x y z (fractional)
1 S 0.3409 0.1910 0.1910  4 O 1.42-1.54
2 S 0.6591 0.8090 0.8090  4 O 1.42-1.54
3 O 0.3348 0.8451 0.8451  1 S 1.52
4 O 0.2586 0.3324 0.3324  1 S 1.42
5 O 0.2277 0.9569 0.2800  1 S 1.54
6 O 0.6652 0.1549 0.1549  1 S 1.52
7 O 0.7414 0.6676 0.6676  1 S 1.42
8 O 0.7723 0.0431 0.7200  1 S 1.54
9 O 0.7723 0.7200 0.0431  1 S 1.54
10 O 0.2277 0.2800 0.9569  1 S 1.54
11 Mo 0.0000 0.0000 0.0000  6 O 2.04-2.11